The following is a DFT calculation (PBE) of an optimized crystal structure of Al2CdAg.

a = 2.999 Å, b = 2.999 Å, c = 8.231 Å
α = 90.00°, β = 90.00°, γ = 90.00°
Fractional positions:
Al 0.000 0.000 0.230
Al 0.000 0.000 0.770
Cd 0.500 0.500 0.500
Ag 0.500 0.500 0.000

=====

The following is a DFT calculation (PBE) of an optimized crystal structure of AlCd2Ag.

a = 10.300 Å, b = 10.300 Å, c = 10.300 Å
α = 156.51°, β = 156.51°, γ = 33.46°
Fractional positions:
Al 0.000 0.000 0.000
Al 0.750 0.250 0.500
Cd 0.124 0.625 0.999
Cd 0.375 0.374 0.499
Cd 0.626 0.125 0.001
Cd 0.875 0.876 0.501
Ag 0.250 0.750 0.500
Ag 0.500 0.500 0.000

=====

The following is a DFT calculation (PBE) of an optimized crystal structure of AlCd2Ag.

a = 3.009 Å, b = 3.009 Å, c = 9.272 Å
α = 90.00°, β = 90.00°, γ = 107.67°
Fractional positions:
Al 0.000 0.000 0.000
Cd 0.500 0.500 0.251
Cd 0.500 0.500 0.749
Ag 0.000 0.000 0.500

=====

The following is a DFT calculation (PBE) of an optimized crystal structure of AlCd4Ag2.

a = 17.886 Å, b = 17.886 Å, c = 17.886 Å
α = 9.81°, β = 9.81°, γ = 9.81°
Fractional positions:
Al 0.000 0.000 0.000
Cd 0.143 0.143 0.143
Cd 0.288 0.288 0.288
Cd 0.712 0.712 0.712
Cd 0.857 0.857 0.857
Ag 0.235 0.235 0.235
Ag 0.765 0.765 0.765

=====

The following is a DFT calculation (PBE) of an optimized crystal structure of AlCd2Ag3.

a = 7.070 Å, b = 7.070 Å, c = 7.424 Å
α = 90.16°, β = 90.16°, γ = 143.37°
Fractional positions:
Al 0.164 0.836 0.000
Al 0.836 0.164 0.000
Cd 0.167 0.833 0.500
Cd 0.500 0.500 0.000
Cd 0.500 0.500 0.500
Cd 0.833 0.167 0.500
Ag 0.001 0.001 0.243
Ag 0.327 0.673 0.228
Ag 0.327 0.673 0.772
Ag 0.673 0.327 0.228
Ag 0.673 0.327 0.772
Ag 0.999 0.999 0.757

=====

The following is a DFT calculation (PBE) of an optimized crystal structure of AlCd2Ag.

a = 5.261 Å, b = 5.261 Å, c = 5.261 Å
α = 131.92°, β = 131.92°, γ = 70.35°
Fractional positions:
Al 0.000 0.000 0.000
Cd 0.250 0.750 0.500
Cd 0.500 0.500 0.000
Ag 0.750 0.250 0.500

=====

The following is a DFT calculation (PBE) of an optimized crystal structure of Al2CdAg.

a = 5.117 Å, b = 2.920 Å, c = 5.220 Å
α = 90.00°, β = 109.20°, γ = 90.00°
Fractional positions:
Al 0.000 0.000 0.000
Al 0.000 0.500 0.500
Cd 0.500 0.000 0.500
Ag 0.500 0.500 0.000

=====

The following is a DFT calculation (PBE) of an optimized crystal structure of AlCdAg2.

a = 9.383 Å, b = 9.383 Å, c = 9.383 Å
α = 18.53°, β = 18.53°, γ = 18.53°
Fractional positions:
Al 0.000 0.000 0.000
Cd 0.500 0.500 0.500
Ag 0.256 0.256 0.256
Ag 0.744 0.744 0.744

=====

The following is a DFT calculation (PBE) of an optimized crystal structure of AlCdAg.

a = 3.085 Å, b = 3.085 Å, c = 6.855 Å
α = 90.00°, β = 90.00°, γ = 120.00°
Fractional positions:
Al 0.000 0.000 0.000
Cd 0.667 0.333 0.345
Ag 0.333 0.667 0.695

=====

The following is a DFT calculation (PBE) of an optimized crystal structure of Al2CdAg.

a = 9.710 Å, b = 9.710 Å, c = 9.710 Å
α = 17.58°, β = 17.58°, γ = 17.58°
Fractional positions:
Al 0.000 0.000 0.000
Al 0.256 0.256 0.256
Cd 0.757 0.757 0.757
Ag 0.513 0.513 0.513

=====

The following is a DFT calculation (PBE) of an optimized crystal structure of AlCd12Ag6.

a = 7.288 Å, b = 7.288 Å, c = 7.288 Å
α = 88.15°, β = 88.15°, γ = 88.15°
Fractional positions:
Al 0.000 0.000 0.000
Cd 0.041 0.376 0.155
Cd 0.155 0.041 0.376
Cd 0.196 0.570 0.476
Cd 0.376 0.155 0.041
Cd 0.430 0.524 0.804
Cd 0.476 0.196 0.570
Cd 0.524 0.804 0.430
Cd 0.570 0.476 0.196
Cd 0.624 0.845 0.959
Cd 0.804 0.430 0.524
Cd 0.845 0.959 0.624
Cd 0.959 0.624 0.845
Ag 0.111 0.263 0.737
Ag 0.263 0.737 0.111
Ag 0.263 0.889 0.737
Ag 0.737 0.111 0.263
Ag 0.737 0.263 0.889
Ag 0.889 0.737 0.263

=====

The following is a DFT calculation (PBE) of an optimized crystal structure of AlCdAg2.

a = 2.982 Å, b = 2.982 Å, c = 8.290 Å
α = 90.00°, β = 90.00°, γ = 90.00°
Fractional positions:
Al 0.000 0.000 0.000
Cd 0.500 0.500 0.261
Ag 0.000 0.000 0.524
Ag 0.500 0.500 0.779

=====

no.,magnetization (μB/cell),energy (eV for the cell shown)
1,0.000,-10.94
2,0.000,-15.52
3,0.000,-8.07
4,0.000,-12.59
5,0.000,-28.72
6,0.000,-8.14
7,0.000,-11.04
8,0.000,-10.45
9,0.000,-7.49
10,0.000,-11.20
11,0.000,-32.51
12,0.000,-10.27